Entry 1:
Material: Sr2NpAlS6
Method: DFT, PBE-GGA
State: relaxed

Output
**Space-group type**: P2_1/c, No. 14
**Electronic total energy**: -5.965 eV per atom
**Magnetic moment**: 4.000 Bohr magnetons per cell

Cell lengths 6.7726, 7.0646, 9.7373 Å; angles 90.00, 90.60, 90.00 degrees
With the nearest neighbours (Å) after each atom.
Fractional coordinates of all 20 atoms:
Sr1 0.0203 0.9305 0.2465  7 S 3.01-3.31
Sr2 0.5203 0.5695 0.7465  7 S 3.01-3.31
Sr3 0.9797 0.0695 0.7535  7 S 3.01-3.31
Sr4 0.4797 0.4305 0.2535  7 S 3.01-3.31
Np1 0.5000 0.0000 0.0000  6 S 2.59-2.61
Np2 0.0000 0.5000 0.5000  6 S 2.59-2.61
Al1 0.5000 0.0000 0.5000  6 S 2.42-2.46
Al2 0.0000 0.5000 0.0000  6 S 2.42-2.46
S1 0.2925 0.6941 0.0434  1 Al 2.44, 1 Np 2.61
S2 0.7925 0.8059 0.5434  1 Al 2.44, 1 Np 2.61
S3 0.7075 0.3059 0.9566  1 Al 2.44, 1 Np 2.61
S4 0.2075 0.1941 0.4566  1 Al 2.44, 1 Np 2.61
S5 0.3079 0.7099 0.4560  1 Al 2.46, 1 Np 2.60
S6 0.8079 0.7901 0.9560  1 Al 2.46, 1 Np 2.60
S7 0.6921 0.2901 0.5440  1 Al 2.46, 1 Np 2.60
S8 0.1921 0.2099 0.0440  1 Al 2.46, 1 Np 2.60
S9 0.9146 0.5149 0.2407  1 Al 2.42, 1 Np 2.59
S10 0.4146 0.9851 0.7407  1 Al 2.42, 1 Np 2.59
S11 0.0854 0.4851 0.7593  1 Al 2.42, 1 Np 2.59
S12 0.5854 0.0149 0.2593  1 Al 2.42, 1 Np 2.59

Entry 2:
Material: Np3AlTl4S8
Method: DFT, PBE-GGA
State: relaxed

Output
**Space-group type**: R-3m, No. 166
**Electronic total energy**: -6.233 eV per atom
**Magnetic moment**: 11.852 Bohr magnetons per cell

Cell lengths 7.9451, 8.8054, 7.9463 Å; angles 116.85, 120.00, 90.00 degrees
With the nearest neighbours (Å) after each atom.
Fractional coordinates of all 16 atoms:
Np1 0.5000 0.5000 0.0000  6 S 2.72-2.76
Np2 0.5000 0.5000 0.5000  6 S 2.72-2.76
Np3 0.0000 0.5000 0.5000  6 S 2.72-2.76
Al1 0.0000 0.5000 0.0000  6 S 2.52
Tl1 0.5000 0.0000 0.0000  6 S 3.43-3.44
Tl2 0.5000 0.0000 0.5000  6 S 3.24-3.25
Tl3 0.0000 0.0000 0.0000  6 S 3.24-3.25
Tl4 0.0000 0.0000 0.5000  6 S 3.24-3.25
S1 0.2144 0.6826 0.9683  1 Al 2.52, 2 Np 2.76
S2 0.2146 0.6827 0.4292  1 Al 2.52, 2 Np 2.76
S3 0.2683 0.3049 0.5365  3 Np 2.72
S4 0.7539 0.6826 0.9683  1 Al 2.52, 2 Np 2.76
S5 0.2461 0.3174 0.0317  1 Al 2.52, 2 Np 2.76
S6 0.7317 0.6951 0.4635  3 Np 2.72
S7 0.7854 0.3173 0.5708  1 Al 2.52, 2 Np 2.76
S8 0.7856 0.3174 0.0317  1 Al 2.52, 2 Np 2.76

Entry 3:
Material: NpAlTl2S5
Method: DFT, PBE-GGA
State: relaxed

Output
**Space-group type**: Cmc2_1, No. 36
**Electronic total energy**: -5.503 eV per atom
**Magnetic moment**: 4.003 Bohr magnetons per cell

Cell lengths 3.9271, 9.3092, 13.8867 Å; angles 90.00, 90.00, 102.18 degrees
With the nearest neighbours (Å) after each atom.
Fractional coordinates of all 18 atoms:
Np1 0.7960 0.5921 0.5287  5 S 2.46-2.70
Np2 0.2040 0.4079 0.0287  5 S 2.46-2.70
Al1 0.5644 0.1288 0.9242  4 S 2.17-2.38
Al2 0.4356 0.8712 0.4242  4 S 2.17-2.38
Tl1 0.8779 0.7558 0.8288  4 S 3.04-3.26
Tl2 0.1068 0.2135 0.6754  5 S 3.17-3.40
Tl3 0.1221 0.2442 0.3288  4 S 3.04-3.26
Tl4 0.8932 0.7865 0.1754  5 S 3.17-3.40
S1 0.3382 0.6764 0.0093  1 Np 2.46
S2 0.6897 0.3794 0.8966  1 Al 2.31
S3 0.5023 0.0045 0.7907  1 Al 2.17
S4 0.2926 0.5853 0.6508  2 Np 2.60
S5 0.9474 0.8948 0.5194  2 Al 2.38
S6 0.6618 0.3236 0.5093  1 Np 2.46
S7 0.3103 0.6206 0.3966  1 Al 2.31
S8 0.4977 0.9955 0.2907  1 Al 2.17
S9 0.7074 0.4147 0.1508  2 Np 2.60
S10 0.0526 0.1052 0.0194  2 Al 2.38